(1)
First-principles (PBE) data for crystalline Hf2TaCrCd at its relaxed geometry, as listed in the Alexandria database.

Summary:
As for the crystal system: tetragonal. As for the formation energy: 2.1701 eV/atom.

a = 5.0580 Å, b = 5.0580 Å, c = 4.9752 Å
α = 90.00°, β = 90.00°, γ = 90.00°
Space group P4/mmm (No. 123)
Unique sites:
Hf (0.0000, 0.5000, 0.0000) (multiplicity 2)
Ta (0.0000, 0.0000, 0.5000) (multiplicity 1)
Cr (0.5000, 0.5000, 0.5000) (multiplicity 1)
Cd (0.0000, 0.0000, 0.0000) (multiplicity 1)

=====

(2)
First-principles (PBE) data for crystalline La3TaMo at its relaxed geometry, as listed in the Alexandria database.

Summary:
As for the crystal system: cubic. As for the formation energy: 1.0213 eV/atom. As for the energy above the most stable polymorph in this dataset: 0.00 eV/f.u.

a = 5.3927 Å, b = 5.3927 Å, c = 5.3927 Å
α = 90.00°, β = 90.00°, γ = 90.00°
Space group Pm-3m (No. 221)
Unique sites:
La (0.0000, 0.0000, 0.5000) (multiplicity 3)
Ta (0.5000, 0.5000, 0.5000) (multiplicity 1)
Mo (0.0000, 0.0000, 0.0000) (multiplicity 1)

=====

What are the uncorrected energy values for these records? In order: -6.2895 -6.4720 eV per atom.
What are the M_tot values for these records? In order: 0.7 0.0 μB per formula unit.